Density functional theory data (GGA-PBE) for a relaxed structure of Li7SnBi4.

Cell: 5.4186 7.7193 8.1709 Å, 79.17 88.09 56.91°
Fractional positions:
Bi 0.1750 0.1527 0.2990
Bi 0.4043 0.3768 0.7574
Bi 0.5957 0.6232 0.2426
Bi 0.8250 0.8473 0.7010
Li 0.5000 0.0000 0.0000
Li 0.5810 0.2613 0.4269
Li 0.9126 0.8218 0.3354
Li 0.8075 0.4646 0.9186
Li 0.4190 0.7387 0.5731
Li 0.1925 0.5354 0.0814
Li 0.0874 0.1782 0.6646
Sn 0.0000 0.0000 0.0000

## Properties
ΔE_f: -347 meV/atom
Excess energy over the best structure of this formula in the dataset: 0.0 meV per atom